{"formula": "CaTlSn", "functional": "GGA-PBE", "state": "optimized geometry", "cell": [[5.221, 0.000, 0.000], [-2.610, 4.521, 0.000], [0.000, 0.000, 3.703]], "species": ["Ca", "Tl", "Sn"], "frac_coords": [[0.000, 0.000, 0.000], [0.333, 0.667, 0.341], [0.667, 0.333, 0.592]], "ef_mev_per_atom": -342, "e_above_lowest_polymorph_ev_per_atom": 0.000, "energy_ev_per_atom": -3.132, "dos_at_fermi_per_ev_atom": 0.371, "rho_g_cm3": 6.90, "crystal_system": "trigonal"}